1.
This record from Alexandria via LeMat-Bulk describes a relaxed NaLi5 crystal. The functional is PBE.

Results
The density of states at the Fermi level is 3.0 states/eV per cell. Its formation energy is 0.04 eV/atom. Its total energy is -1.77 eV per atom.

Structure (POSCAR):
```
NaLi5
1.0
-1.649 1.854 -3.834
-3.575 -3.272 2.676
0.108 5.781 2.750
Li Na
5 1
direct
0.308 0.616 0.127
0.646 0.292 0.291
0.972 0.944 0.445
0.636 0.272 0.762
0.298 0.597 0.597
0.972 0.945 0.945
```

2.
This record from Alexandria via LeMat-Bulk describes a relaxed ThAl2V crystal. The functional is PBE.

Results
The density of states at the Fermi level is 4.7 states/eV per cell. Its formation energy is 0.17 eV/atom. Its total energy is -5.83 eV per atom.

Structure (POSCAR):
```
ThAl2V
1.0
3.093 0.000 0.000
1.546 2.678 0.000
1.546 0.893 9.702
Al V Th
2 1 1
direct
0.737 0.737 0.788
0.263 0.263 0.212
0.000 0.000 0.000
0.500 0.500 0.500
```